No. 1
DFT (PBE) results for Rb2CaUSe6 after structural relaxation.

Calculated values
E_tot = -4.7132 eV/atom
theoretical density = 4.51 g cm⁻³
density of states at the Fermi level = 7.6 states/eV/f.u.
M_tot = 0.0 μB per formula unit

Cell: 7.8307 7.8387 13.5534 Å, 90.00 125.25 90.00°
With the nearest neighbours (Å) after each atom.
Atoms (fractional coordinates):
1 Rb 0.2499 0.0003 0.2502  12 Se 3.91-3.93
2 Rb 0.2499 0.4997 0.7502  12 Se 3.91-3.93
3 Rb 0.7501 0.9997 0.7498  12 Se 3.91-3.93
4 Rb 0.7501 0.5003 0.2498  12 Se 3.91-3.93
5 Ca 0.0000 0.0000 0.5000  6 Se 2.87-2.88
6 Ca 0.0000 0.5000 0.0000  6 Se 2.87-2.88
7 U 0.5000 0.0000 0.0000  6 Se 2.66
8 U 0.5000 0.5000 0.5000  6 Se 2.66
9 Se 0.2589 0.2394 0.0000  1 U 2.66, 1 Ca 2.88
10 Se 0.2589 0.2606 0.5000  1 U 2.66, 1 Ca 2.88
11 Se 0.2599 0.0004 0.7594  1 U 2.66, 1 Ca 2.87
12 Se 0.2599 0.4996 0.2594  1 U 2.66, 1 Ca 2.87
13 Se 0.2603 0.7410 0.4998  1 U 2.66, 1 Ca 2.88
14 Se 0.2603 0.7590 0.9998  1 U 2.66, 1 Ca 2.88
15 Se 0.7401 0.9996 0.2406  1 U 2.66, 1 Ca 2.87
16 Se 0.7397 0.2410 0.0002  1 U 2.66, 1 Ca 2.88
17 Se 0.7397 0.2590 0.5002  1 U 2.66, 1 Ca 2.88
18 Se 0.7401 0.5004 0.7406  1 U 2.66, 1 Ca 2.87
19 Se 0.7411 0.7394 0.5000  1 U 2.66, 1 Ca 2.88
20 Se 0.7411 0.7606 0.0000  1 U 2.66, 1 Ca 2.88

No. 2
DFT (PBE) results for Rb2Ca2USe6 after structural relaxation.

Calculated values
E_tot = -4.9347 eV/atom
theoretical density = 4.27 g cm⁻³
M_tot = 0.0 μB per formula unit

Cell: 7.2726 7.2726 8.5175 Å, 98.74 98.74 119.26°
With the nearest neighbours (Å) after each atom.
Atoms (fractional coordinates):
1 Rb 0.1734 0.8266 0.0000  6 Se 3.46-3.55
2 Rb 0.8266 0.1734 0.0000  6 Se 3.46-3.55
3 Ca 0.3338 0.6662 0.5000  6 Se 2.97-2.99
4 Ca 0.6662 0.3338 0.5000  6 Se 2.97-2.99
5 U 0.0000 0.0000 0.5000  6 Se 2.72
6 Se 0.0672 0.3734 0.6918  1 U 2.72, 2 Ca 2.97-2.99
7 Se 0.2380 0.2380 0.3097  1 U 2.72, 2 Ca 2.97
8 Se 0.3734 0.0672 0.6918  1 U 2.72, 2 Ca 2.97-2.99
9 Se 0.6266 0.9328 0.3082  1 U 2.72, 2 Ca 2.97-2.99
10 Se 0.7620 0.7620 0.6903  1 U 2.72, 2 Ca 2.97
11 Se 0.9328 0.6266 0.3082  1 U 2.72, 2 Ca 2.97-2.99

No. 3
DFT (PBE) results for Rb3CaU3Se8 after structural relaxation.

Calculated values
E_tot = -5.7924 eV/atom
theoretical density = 5.42 g cm⁻³
density of states at the Fermi level = 11.8 states/eV/f.u.
M_tot = 7.0 μB per formula unit

Cell: 9.4533 9.4533 9.4533 Å, 53.27 53.27 53.27°
With the nearest neighbours (Å) after each atom.
Atoms (fractional coordinates):
1 Rb 0.0000 0.5000 0.5000  6 Se 3.47-3.52
2 Rb 0.5000 0.0000 0.5000  6 Se 3.47-3.52
3 Rb 0.5000 0.5000 0.0000  6 Se 3.47-3.52
4 Ca 0.5000 0.5000 0.5000  6 Se 2.98
5 U 0.0000 0.0000 0.5000  6 Se 2.86-2.91
6 U 0.0000 0.5000 0.0000  6 Se 2.86-2.91
7 U 0.5000 0.0000 0.0000  6 Se 2.86-2.91
8 Se 0.2182 0.7372 0.7372  2 U 2.86, 1 Ca 2.98
9 Se 0.2319 0.2319 0.2319  3 U 2.91
10 Se 0.2628 0.2628 0.7818  2 U 2.86, 1 Ca 2.98
11 Se 0.2628 0.7818 0.2628  2 U 2.86, 1 Ca 2.98
12 Se 0.7372 0.2182 0.7372  2 U 2.86, 1 Ca 2.98
13 Se 0.7372 0.7372 0.2182  2 U 2.86, 1 Ca 2.98
14 Se 0.7681 0.7681 0.7681  3 U 2.91
15 Se 0.7818 0.2628 0.2628  2 U 2.86, 1 Ca 2.98

No. 4
DFT (PBE) results for RbCaYSe2 after structural relaxation.

Calculated values
E_tot = -2.9477 eV/atom
theoretical density = 3.39 g cm⁻³
density of states at the Fermi level = 2.6 states/eV/f.u.
M_tot = 1.5 μB per formula unit

Cell: 5.8594 5.8594 5.3086 Å, 90.00 90.00 90.00°
With the nearest neighbours (Å) after each atom.
Atoms (fractional coordinates):
1 Rb 0.0000 0.0000 0.0000  2 Ca 2.65, 4 Se 2.93
2 Ca 0.0000 0.0000 0.5000  2 Rb 2.65
3 Y 0.5000 0.5000 0.5000  8 Se 3.95, 4 Ca 4.14
4 Se 0.0000 0.5000 0.0000  2 Rb 2.93
5 Se 0.5000 0.0000 0.0000  2 Rb 2.93

No. 5
DFT (PBE) results for RbCaZnSe2 after structural relaxation.

Calculated values
E_tot = -3.2028 eV/atom
theoretical density = 3.42 g cm⁻³
density of states at the Fermi level = 2.0 states/eV/f.u.
M_tot = 0.6 μB per formula unit

Cell: 7.9289 5.0696 8.5273 Å, 90.00 99.02 90.00°
With the nearest neighbours (Å) after each atom.
Atoms (fractional coordinates):
1 Rb 0.0000 0.1577 0.2500  6 Se 3.57-3.69
2 Rb 0.0000 0.8423 0.7500  6 Se 3.57-3.69
3 Ca 0.5000 0.4922 0.7500  4 Se 2.92
4 Ca 0.5000 0.5078 0.2500  4 Se 2.92
5 Zn 0.5000 0.0000 0.0000  2 Se 2.45
6 Zn 0.5000 0.0000 0.5000  2 Se 2.45
7 Se 0.2709 0.3280 0.9682  1 Zn 2.45
8 Se 0.2709 0.6720 0.4682  1 Zn 2.45
9 Se 0.7291 0.3280 0.5318  1 Zn 2.45
10 Se 0.7291 0.6720 0.0318  1 Zn 2.45

No. 6
DFT (PBE) results for RbCa3Si after structural relaxation.

Calculated values
E_tot = -1.1183 eV/atom
theoretical density = 1.96 g cm⁻³
density of states at the Fermi level = 4.9 states/eV/f.u.
M_tot = 2.5 μB per formula unit

Cell: 5.8308 5.8308 5.8308 Å, 90.00 90.00 90.00°
With the nearest neighbours (Å) after each atom.
Atoms (fractional coordinates):
1 Rb 0.0000 0.0000 0.0000  6 Ca 2.92
2 Ca 0.0000 0.0000 0.5000  2 Rb 2.92
3 Ca 0.0000 0.5000 0.0000  2 Rb 2.92
4 Ca 0.5000 0.0000 0.0000  2 Rb 2.92
5 Si 0.5000 0.5000 0.5000  12 Ca 4.12

No. 7
DFT (PBE) results for RbCa2Si2 after structural relaxation.

Calculated values
E_tot = -3.2514 eV/atom
theoretical density = 2.35 g cm⁻³
density of states at the Fermi level = 7.9 states/eV/f.u.
M_tot = 0.0 μB per formula unit

Cell: 6.6575 6.6575 6.6575 Å, 132.70 132.70 69.13°
With the nearest neighbours (Å) after each atom.
Atoms (fractional coordinates):
1 Rb 0.0000 0.0000 0.0000  8 Ca 3.83, 8 Si 3.96
2 Ca 0.2500 0.7500 0.5000  4 Si 3.09
3 Ca 0.7500 0.2500 0.5000  4 Si 3.09
4 Si 0.3912 0.3912 0.0000  1 Si 2.39
5 Si 0.6088 0.6088 0.0000  1 Si 2.39

No. 8
DFT (PBE) results for Rb2Ca2Si after structural relaxation.

Calculated values
E_tot = -2.1640 eV/atom
theoretical density = 1.98 g cm⁻³
density of states at the Fermi level = 0.2 states/eV/f.u.
M_tot = 0.0 μB per formula unit

Cell: 8.0579 8.0579 7.2147 Å, 90.00 90.00 90.00°
With the nearest neighbours (Å) after each atom.
Atoms (fractional coordinates):
1 Rb 0.1872 0.3128 0.0000  2 Ca 3.92, 5 Rb 4.15-4.27
2 Rb 0.3128 0.8128 0.0000  2 Ca 3.92, 5 Rb 4.15-4.27
3 Rb 0.6872 0.1872 0.0000  2 Ca 3.92, 5 Rb 4.15-4.27
4 Rb 0.8128 0.6872 0.0000  2 Ca 3.92, 5 Rb 4.15-4.27
5 Ca 0.1777 0.6777 0.5000  2 Si 2.97
6 Ca 0.3223 0.1777 0.5000  2 Si 2.97
7 Ca 0.6777 0.8223 0.5000  2 Si 2.97
8 Ca 0.8223 0.3223 0.5000  2 Si 2.97
9 Si 0.0000 0.0000 0.5000  4 Ca 2.97
10 Si 0.5000 0.5000 0.5000  4 Ca 2.97

No. 9
DFT (PBE) results for Rb3CaSi after structural relaxation.

Calculated values
E_tot = -1.5836 eV/atom
theoretical density = 1.65 g cm⁻³
density of states at the Fermi level = 2.6 states/eV/f.u.
M_tot = 1.0 μB per formula unit

Cell: 6.8935 6.8935 6.8935 Å, 90.00 90.00 90.00°
With the nearest neighbours (Å) after each atom.
Atoms (fractional coordinates):
1 Rb 0.0000 0.0000 0.5000  2 Si 3.45
2 Rb 0.0000 0.5000 0.0000  2 Si 3.45
3 Rb 0.5000 0.0000 0.0000  2 Si 3.45
4 Ca 0.5000 0.5000 0.5000  12 Rb 4.87
5 Si 0.0000 0.0000 0.0000  6 Rb 3.45

No. 10
DFT (PBE) results for RbCaSi2 after structural relaxation.

Calculated values
E_tot = -3.1237 eV/atom
theoretical density = 2.17 g cm⁻³
density of states at the Fermi level = 2.2 states/eV/f.u.
M_tot = 0.0 μB per formula unit

Cell: 10.9251 10.9251 10.9251 Å, 152.44 152.44 39.37°
With the nearest neighbours (Å) after each atom.
Atoms (fractional coordinates):
1 Rb 0.3750 0.6250 0.7500  4 Ca 3.68, 8 Si 3.88
2 Rb 0.6250 0.3750 0.2500  4 Ca 3.68, 8 Si 3.88
3 Ca 0.1250 0.8750 0.2500  4 Si 2.88
4 Ca 0.8750 0.1250 0.7500  4 Si 2.88
5 Si 0.0000 0.0000 0.0000  2 Si 2.60, 2 Ca 2.88
6 Si 0.0000 0.0000 0.5000  2 Si 2.60, 2 Ca 2.88
7 Si 0.0000 0.5000 0.0000  2 Si 2.60, 2 Ca 2.88
8 Si 0.5000 0.0000 0.5000  2 Si 2.60, 2 Ca 2.88

No. 11
DFT (PBE) results for RbCa2Si2 after structural relaxation.

Calculated values
E_tot = -3.2445 eV/atom
theoretical density = 2.46 g cm⁻³
density of states at the Fermi level = 3.6 states/eV/f.u.
M_tot = 0.0 μB per formula unit

Cell: 8.3893 8.3893 4.2468 Å, 90.00 90.00 90.00°
With the nearest neighbours (Å) after each atom.
Atoms (fractional coordinates):
1 Rb 0.0000 0.0000 0.0000  4 Si 3.45, 8 Ca 3.79
2 Rb 0.5000 0.5000 0.0000  4 Si 3.45, 8 Ca 3.79
3 Ca 0.1633 0.3367 0.5000  4 Si 3.12
4 Ca 0.3367 0.8367 0.5000  4 Si 3.12
5 Ca 0.6633 0.1633 0.5000  4 Si 3.12
6 Ca 0.8367 0.6633 0.5000  4 Si 3.12
7 Si 0.1016 0.6016 0.0000  1 Si 2.41
8 Si 0.3984 0.1016 0.0000  1 Si 2.41
9 Si 0.6016 0.8984 0.0000  1 Si 2.41
10 Si 0.8984 0.3984 0.0000  1 Si 2.41

No. 12
DFT (PBE) results for Rb4Ca2Si after structural relaxation.

Calculated values
E_tot = -1.3950 eV/atom
theoretical density = 1.52 g cm⁻³
density of states at the Fermi level = 5.4 states/eV/f.u.
M_tot = 0.9 μB per formula unit

Cell: 11.2190 11.2190 11.2190 Å, 143.77 143.77 52.17°
With the nearest neighbours (Å) after each atom.
Atoms (fractional coordinates):
1 Rb 0.0000 0.5000 0.5000  2 Si 3.49
2 Rb 0.1720 0.1720 0.0000  1 Si 3.47
3 Rb 0.5000 0.0000 0.5000  2 Si 3.49
4 Rb 0.8280 0.8280 0.0000  1 Si 3.47
5 Ca 0.3935 0.3935 0.0000  5 Rb 4.10-4.47, 1 Ca 4.29
6 Ca 0.6065 0.6065 0.0000  5 Rb 4.10-4.47, 1 Ca 4.29
7 Si 0.0000 0.0000 0.0000  6 Rb 3.47-3.49

No. 13
DFT (PBE) results for RbCaSi2 after structural relaxation.

Calculated values
E_tot = -3.0291 eV/atom
theoretical density = 2.75 g cm⁻³
density of states at the Fermi level = 2.9 states/eV/f.u.
M_tot = 0.0 μB per formula unit

Cell: 5.3761 5.3761 5.3761 Å, 60.00 60.00 60.00°
With the nearest neighbours (Å) after each atom.
Atoms (fractional coordinates):
1 Rb 0.0000 0.0000 0.0000  8 Si 3.29
2 Ca 0.5000 0.5000 0.5000  8 Si 3.29
3 Si 0.2500 0.2500 0.2500  4 Ca 3.29, 4 Rb 3.29
4 Si 0.7500 0.7500 0.7500  4 Ca 3.29, 4 Rb 3.29

No. 14
DFT (PBE) results for RbCa3Si after structural relaxation.

Calculated values
E_tot = -2.5308 eV/atom
theoretical density = 1.85 g cm⁻³
density of states at the Fermi level = 4.0 states/eV/f.u.
M_tot = 0.8 μB per formula unit

Cell: 5.9400 5.9400 5.9400 Å, 90.00 90.00 90.00°
With the nearest neighbours (Å) after each atom.
Atoms (fractional coordinates):
1 Rb 0.0000 0.0000 0.0000  12 Ca 4.20
2 Ca 0.0000 0.5000 0.5000  2 Si 2.97
3 Ca 0.5000 0.0000 0.5000  2 Si 2.97
4 Ca 0.5000 0.5000 0.0000  2 Si 2.97
5 Si 0.5000 0.5000 0.5000  6 Ca 2.97

No. 15
DFT (PBE) results for RbCa2Si2 after structural relaxation.

Calculated values
E_tot = -3.2686 eV/atom
theoretical density = 2.70 g cm⁻³
density of states at the Fermi level = 2.2 states/eV/f.u.
M_tot = 0.0 μB per formula unit

Cell: 9.2233 9.2233 3.2036 Å, 90.00 90.00 90.00°
With the nearest neighbours (Å) after each atom.
Atoms (fractional coordinates):
1 Rb 0.0000 0.0000 0.0000  2 Rb 3.20
2 Rb 0.5000 0.5000 0.0000  2 Rb 3.20
3 Ca 0.1274 0.3726 0.0000  6 Si 3.10-3.19, 3 Ca 3.20-3.32
4 Ca 0.3726 0.8726 0.0000  6 Si 3.10-3.19, 3 Ca 3.20-3.32
5 Ca 0.6274 0.1274 0.0000  6 Si 3.10-3.19, 3 Ca 3.20-3.32
6 Ca 0.8726 0.6274 0.0000  6 Si 3.10-3.19, 3 Ca 3.20-3.32
7 Si 0.1688 0.6688 0.5000  6 Ca 3.10-3.19, 2 Si 3.20
8 Si 0.3312 0.1688 0.5000  6 Ca 3.10-3.19, 2 Si 3.20
9 Si 0.6688 0.8312 0.5000  6 Ca 3.10-3.19, 2 Si 3.20
10 Si 0.8312 0.3312 0.5000  6 Ca 3.10-3.19, 2 Si 3.20

No. 16
DFT (PBE) results for RbCa2SiSn after structural relaxation.

Calculated values
E_tot = -2.8868 eV/atom
theoretical density = 2.82 g cm⁻³
density of states at the Fermi level = 4.7 states/eV/f.u.
M_tot = 0.0 μB per formula unit

Cell: 5.7925 5.7925 5.4855 Å, 90.00 90.00 90.00°
With the nearest neighbours (Å) after each atom.
Atoms (fractional coordinates):
1 Rb 0.0000 0.0000 0.0000  8 Ca 3.99, 4 Sn 4.10
2 Ca 0.0000 0.5000 0.5000  2 Si 2.90
3 Ca 0.5000 0.0000 0.5000  2 Si 2.90
4 Si 0.5000 0.5000 0.5000  2 Sn 2.74, 4 Ca 2.90
5 Sn 0.5000 0.5000 0.0000  2 Si 2.74

No. 17
DFT (PBE) results for Rb2SrCaSi after structural relaxation.

Calculated values
E_tot = -1.5479 eV/atom
theoretical density = 1.76 g cm⁻³
density of states at the Fermi level = 3.6 states/eV/f.u.
M_tot = 0.0 μB per formula unit

Cell: 7.3745 7.3745 5.6655 Å, 90.00 90.00 90.00°
With the nearest neighbours (Å) after each atom.
Atoms (fractional coordinates):
1 Rb 0.0000 0.5000 0.0000  2 Sr 3.69
2 Rb 0.5000 0.0000 0.0000  2 Sr 3.69
3 Sr 0.0000 0.0000 0.0000  2 Si 2.83
4 Ca 0.5000 0.5000 0.5000  8 Rb 4.65
5 Si 0.0000 0.0000 0.5000  2 Sr 2.83

No. 18
DFT (PBE) results for RbSr2CaSi after structural relaxation.

Calculated values
E_tot = -1.8614 eV/atom
theoretical density = 2.04 g cm⁻³
density of states at the Fermi level = 6.4 states/eV/f.u.
M_tot = 0.0 μB per formula unit

Cell: 6.9245 6.9245 5.5714 Å, 90.00 90.00 90.00°
With the nearest neighbours (Å) after each atom.
Atoms (fractional coordinates):
1 Rb 0.0000 0.0000 0.0000  8 Sr 4.44, 4 Si 4.90
2 Sr 0.0000 0.5000 0.5000  2 Ca 3.46
3 Sr 0.5000 0.0000 0.5000  2 Ca 3.46
4 Ca 0.5000 0.5000 0.5000  2 Si 2.79
5 Si 0.5000 0.5000 0.0000  2 Ca 2.79

No. 19
DFT (PBE) results for RbCaTi2Si after structural relaxation.

Calculated values
E_tot = -2.8805 eV/atom
theoretical density = 3.45 g cm⁻³
density of states at the Fermi level = 7.0 states/eV/f.u.
M_tot = 1.9 μB per formula unit

Cell: 4.7688 4.7688 5.2706 Å, 90.00 90.00 90.00°
With the nearest neighbours (Å) after each atom.
Atoms (fractional coordinates):
1 Rb 0.0000 0.0000 0.0000  4 Ti 2.38, 2 Ca 2.64
2 Ca 0.0000 0.0000 0.5000  2 Rb 2.64
3 Ti 0.0000 0.5000 0.0000  2 Rb 2.38
4 Ti 0.5000 0.0000 0.0000  2 Rb 2.38
5 Si 0.5000 0.5000 0.5000  4 Ca 3.37, 8 Ti 3.55

No. 20
DFT (PBE) results for RbCa2ZrSi after structural relaxation.

Calculated values
E_tot = -3.2819 eV/atom
theoretical density = 2.41 g cm⁻³
density of states at the Fermi level = 8.5 states/eV/f.u.
M_tot = 0.0 μB per formula unit

Cell: 6.0987 6.0987 5.2820 Å, 90.00 90.00 90.00°
With the nearest neighbours (Å) after each atom.
Atoms (fractional coordinates):
1 Rb 0.0000 0.0000 0.0000  8 Ca 4.03, 4 Si 4.31
2 Ca 0.0000 0.5000 0.5000  2 Zr 3.05
3 Ca 0.5000 0.0000 0.5000  2 Zr 3.05
4 Zr 0.5000 0.5000 0.5000  2 Si 2.64
5 Si 0.5000 0.5000 0.0000  2 Zr 2.64